1.
{"formula": "Al2Ni11", "functional": "PBE-GGA", "state": "optimized geometry", "polymorph_energy_mev_per_atom": 22, "spacegroup": "R-3m", "lattice": [[2.458, -1.153, 8.175], [5.593, 1.664, 6.337], [1.564, 3.340, 7.785]], "species": ["Ni", "Ni", "Ni", "Ni", "Ni", "Ni", "Ni", "Ni", "Ni", "Ni", "Al", "Al", "Ni"], "fractional_positions": [[0.653, 0.653, 0.653], [0.413, 0.909, 0.909], [0.166, 0.166, 0.166], [0.000, 0.000, 0.000], [0.347, 0.347, 0.347], [0.091, 0.091, 0.587], [0.834, 0.834, 0.834], [0.909, 0.413, 0.909], [0.909, 0.909, 0.413], [0.587, 0.091, 0.091], [0.448, 0.448, 0.448], [0.552, 0.552, 0.552], [0.091, 0.587, 0.091]]}



2.
{"formula": "LuGaSi", "functional": "PBE-GGA", "state": "optimized geometry", "energy_ev_per_atom": -4.47, "spacegroup": "F-43m", "lattice": [[1.954, -0.429, 4.040], [-1.440, 2.484, 3.476], [-2.239, -1.952, 3.391]], "species": ["Ga", "Lu", "Si"], "fractional_positions": [[0.250, 0.250, 0.250], [0.750, 0.750, 0.750], [0.000, 0.000, 0.000]]}



3.
{"formula": "ReTeAsO", "functional": "PBE-GGA", "state": "optimized geometry", "polymorph_energy_mev_per_atom": 283, "spacegroup": "Pmc2_1", "lattice": [[3.759, 0.000, 0.000], [0.000, 7.015, 0.000], [0.000, 0.000, 6.552]], "species": ["O", "Re", "Te", "Te", "As", "O", "As", "Re"], "fractional_positions": [[0.500, 0.796, 0.962], [0.000, 0.199, 0.461], [0.500, 0.343, 0.005], [0.500, 0.657, 0.505], [0.000, 0.124, 0.826], [0.500, 0.204, 0.462], [0.000, 0.876, 0.326], [0.000, 0.801, 0.961]]}



4.
{"formula": "HoReB4", "functional": "PBE-GGA", "state": "optimized geometry", "polymorph_energy_mev_per_atom": 303, "spacegroup": "Immm", "lattice": [[-1.572, 2.683, 3.508], [1.572, -2.683, 3.508], [1.572, 2.683, -3.508]], "species": ["Re", "B", "B", "Ho", "B", "B"], "fractional_positions": [[0.500, 0.500, 0.000], [0.913, 0.249, 0.664], [0.414, 0.751, 0.664], [0.000, 0.000, 0.000], [0.087, 0.751, 0.336], [0.586, 0.249, 0.336]]}



V per entry: 11.541; 21.595; 21.596; 9.865 Å³ per atom